Record 1
VS2Br | PBE | optimized geometry Values from VASP.

Calculated values
* uncorrected formation energy: 0.672 eV/atom
* distance to the lowest polymorph of the same formula: 1237 meV/atom

Geometry as Quantum ESPRESSO input:
```
&SYSTEM
  ibrav = 0, nat = 4, ntyp = 3
/
ATOMIC_SPECIES
V 50.94 V.upf
S 32.06 S.upf
Br 79.90 Br.upf
CELL_PARAMETERS angstrom
1.684 0.973 8.713
-1.684 0.973 8.713
0.000 -1.945 8.713
ATOMIC_POSITIONS crystal
V 0.000 0.000 0.000
S 0.081 0.081 0.081
S 0.919 0.919 0.919
Br 0.500 0.500 0.500
```


Record 2
Co2Ru | PBE | optimized geometry Values from VASP.

Calculated values
* distance to the lowest polymorph of the same formula: 387 meV/atom

Geometry as Quantum ESPRESSO input:
```
&SYSTEM
  ibrav = 0, nat = 6, ntyp = 2
/
ATOMIC_SPECIES
Co 58.93 Co.upf
Ru 101.07 Ru.upf
CELL_PARAMETERS angstrom
-2.882 2.882 2.385
2.882 -2.882 2.385
2.882 2.882 -2.385
ATOMIC_POSITIONS crystal
Co 0.137 0.637 0.775
Co 0.363 0.137 0.500
Co 0.637 0.863 0.500
Co 0.863 0.363 0.225
Ru 0.250 0.250 0.000
Ru 0.750 0.750 0.000
```


Record 3
MgTaRe | PBE | optimized geometry Values from VASP.

Calculated values
* distance to the lowest polymorph of the same formula: 567 meV/atom

Geometry as Quantum ESPRESSO input:
```
&SYSTEM
  ibrav = 0, nat = 3, ntyp = 3
/
ATOMIC_SPECIES
Mg 24.30 Mg.upf
Ta 180.95 Ta.upf
Re 186.21 Re.upf
CELL_PARAMETERS angstrom
0.000 3.111 3.111
3.111 0.000 3.111
3.111 3.111 0.000
ATOMIC_POSITIONS crystal
Mg 0.000 0.000 0.000
Ta 0.500 0.500 0.500
Re 0.750 0.750 0.750
```


Record 4
KTi2Cl8 | PBE | optimized geometry Values from VASP.

Calculated values
* uncorrected formation energy: -1.627 eV/atom
* distance to the lowest polymorph of the same formula: 6 meV/atom

Geometry as Quantum ESPRESSO input:
```
&SYSTEM
  ibrav = 0, nat = 11, ntyp = 3
/
ATOMIC_SPECIES
K 39.10 K.upf
Ti 47.87 Ti.upf
Cl 35.45 Cl.upf
CELL_PARAMETERS angstrom
6.796 -3.863 0.000
6.796 3.863 0.000
-2.197 0.000 7.643
ATOMIC_POSITIONS crystal
K 0.000 0.000 0.000
Ti 0.198 0.198 0.685
Ti 0.802 0.802 0.315
Cl 0.102 0.644 0.224
Cl 0.163 0.163 0.393
Cl 0.356 0.898 0.776
Cl 0.366 0.366 0.803
Cl 0.634 0.634 0.197
Cl 0.644 0.102 0.224
Cl 0.837 0.837 0.607
Cl 0.898 0.356 0.776
```


Record 5
ThZnCd | PBE | optimized geometry Values from VASP.

Calculated values
* total energy: -0.1212 Ha/atom

Geometry as Quantum ESPRESSO input:
```
&SYSTEM
  ibrav = 0, nat = 3, ntyp = 3
/
ATOMIC_SPECIES
Th 232.04 Th.upf
Zn 65.41 Zn.upf
Cd 112.41 Cd.upf
CELL_PARAMETERS angstrom
0.000 3.388 3.388
3.388 0.000 3.388
3.388 3.388 0.000
ATOMIC_POSITIONS crystal
Th 0.000 0.000 0.000
Zn 0.250 0.250 0.250
Cd 0.500 0.500 0.500
```


Record 6
ZrVPt2I | PBE | optimized geometry Values from VASP.

Calculated values
* uncorrected formation energy: 0.620 eV/atom

Geometry as Quantum ESPRESSO input:
```
&SYSTEM
  ibrav = 0, nat = 5, ntyp = 4
/
ATOMIC_SPECIES
Zr 91.22 Zr.upf
V 50.94 V.upf
Pt 195.08 Pt.upf
I 126.90 I.upf
CELL_PARAMETERS angstrom
4.691 0.000 0.000
0.000 4.691 0.000
0.000 0.000 5.132
ATOMIC_POSITIONS crystal
Zr 0.000 0.000 0.000
V 0.000 0.000 0.500
Pt 0.000 0.500 0.500
Pt 0.500 0.000 0.500
I 0.500 0.500 0.000
```


Record 7
CaBPb3 | PBE | optimized geometry Values from VASP.

Calculated values
* distance to the lowest polymorph of the same formula: 1106 meV/atom

Geometry as Quantum ESPRESSO input:
```
&SYSTEM
  ibrav = 0, nat = 5, ntyp = 3
/
ATOMIC_SPECIES
Ca 40.08 Ca.upf
B 10.81 B.upf
Pb 207.20 Pb.upf
CELL_PARAMETERS angstrom
5.864 0.000 0.000
0.000 5.864 0.000
0.000 0.000 5.864
ATOMIC_POSITIONS crystal
Ca 0.000 0.000 0.000
B 0.500 0.500 0.500
Pb 0.000 0.000 0.500
Pb 0.000 0.500 0.000
Pb 0.500 0.000 0.000
```


Record 8
YInBr2 | PBE | optimized geometry Values from VASP.

Calculated values
* uncorrected formation energy: -0.927 eV/atom
* distance to the lowest polymorph of the same formula: 112 meV/atom

Geometry as Quantum ESPRESSO input:
```
&SYSTEM
  ibrav = 0, nat = 4, ntyp = 3
/
ATOMIC_SPECIES
Y 88.91 Y.upf
In 114.82 In.upf
Br 79.90 Br.upf
CELL_PARAMETERS angstrom
5.451 0.000 0.000
0.000 1.992 5.321
0.000 -1.992 5.321
ATOMIC_POSITIONS crystal
Y 0.000 0.000 0.000
In 0.500 0.406 0.406
Br 0.000 0.710 0.710
Br 0.500 0.114 0.114
```


Record 9
ZrHO2 | PBE | optimized geometry Values from VASP.

Calculated values
* total energy: -0.2775 Ha/atom

Geometry as Quantum ESPRESSO input:
```
&SYSTEM
  ibrav = 0, nat = 4, ntyp = 3
/
ATOMIC_SPECIES
Zr 91.22 Zr.upf
H 1.01 H.upf
O 16.00 O.upf
CELL_PARAMETERS angstrom
1.588 0.917 4.845
-1.588 0.917 4.845
0.000 -1.834 4.845
ATOMIC_POSITIONS crystal
Zr 0.000 0.000 0.000
H 0.500 0.500 0.500
O 0.418 0.418 0.418
O 0.582 0.582 0.582
```


Record 10
Tb2ScS3 | PBE | optimized geometry Values from VASP.

Calculated values
* uncorrected formation energy: -1.711 eV/atom
* distance to the lowest polymorph of the same formula: 240 meV/atom

Geometry as Quantum ESPRESSO input:
```
&SYSTEM
  ibrav = 0, nat = 6, ntyp = 3
/
ATOMIC_SPECIES
Tb 158.93 Tb.upf
Sc 44.96 Sc.upf
S 32.06 S.upf
CELL_PARAMETERS angstrom
-1.838 2.349 7.450
1.838 -2.349 7.450
1.838 2.349 -7.450
ATOMIC_POSITIONS crystal
Tb 0.144 0.144 0.000
Tb 0.856 0.856 0.000
Sc 0.500 0.500 0.000
S 0.000 0.500 0.500
S 0.328 0.328 0.000
S 0.672 0.672 0.000
```


Record 11
SiAu | PBE | optimized geometry Values from VASP.

Calculated values
* uncorrected formation energy: 0.368 eV/atom

Geometry as Quantum ESPRESSO input:
```
&SYSTEM
  ibrav = 0, nat = 2, ntyp = 2
/
ATOMIC_SPECIES
Si 28.09 Si.upf
Au 196.97 Au.upf
CELL_PARAMETERS angstrom
1.596 -2.351 0.000
1.596 2.351 0.000
0.000 0.000 4.609
ATOMIC_POSITIONS crystal
Si 0.000 0.000 0.000
Au 0.500 0.500 0.500
```


Record 12
SrCe4 | PBE | optimized geometry Values from VASP.

Calculated values
* total energy: -0.1449 Ha/atom

Geometry as Quantum ESPRESSO input:
```
&SYSTEM
  ibrav = 0, nat = 5, ntyp = 2
/
ATOMIC_SPECIES
Sr 87.62 Sr.upf
Ce 140.12 Ce.upf
CELL_PARAMETERS angstrom
5.675 0.000 0.000
0.000 5.675 0.000
0.000 0.000 5.675
ATOMIC_POSITIONS crystal
Sr 0.000 0.000 0.000
Ce 0.000 0.000 0.500
Ce 0.000 0.500 0.000
Ce 0.500 0.000 0.000
Ce 0.500 0.500 0.500
```


Size of the total moment? In order: 0.5; 3.4; 0.0; 1.0; 0.0; 0.0; 0.0; 0.0; 0.0; 0.0; 0.0; 5.5 μB per formula unit.